No. 1
GGA-PBEsol ZnCdIn3, relaxed; formation energy from the elements = 53.35 kJ per mole of atoms; relative energy among the computed polymorphs = 259 meV/atom; size of the total moment = 0.0 μB/cell; total energy = -1.79 eV/atom
1.0
5.382 0.000 0.000
0.000 5.382 0.000
0.000 0.000 5.382
Zn Cd In
1 1 3
Cartesian
0.000 0.000 0.000
2.691 2.691 2.691
0.000 2.691 2.691
2.691 0.000 2.691
2.691 2.691 0.000



No. 2
GGA-PBEsol ZnCd2In, relaxed; formation energy from the elements = 6.58 kJ per mole of atoms; relative energy among the computed polymorphs = 3 meV/atom; size of the total moment = 0.0 μB/cell; total energy = -1.67 eV/atom
1.0
1.613 0.931 9.137
-1.613 0.931 9.137
0.000 -1.862 9.137
Zn Cd In
1 2 1
Cartesian
0.000 0.000 0.000
0.000 0.000 7.050
0.000 0.000 20.360
0.000 0.000 13.705



No. 3
GGA-PBEsol ZnCd2In2, relaxed; formation energy from the elements = 21.54 kJ per mole of atoms; size of the total moment = 0.0 μB/cell; total energy = -1.77 eV/atom
1.0
-2.019 2.019 7.367
2.019 -2.019 7.367
2.019 2.019 -7.367
Zn Cd In
1 2 2
Cartesian
0.000 0.000 0.000
2.019 0.000 3.684
0.000 2.019 3.684
0.000 0.000 5.943
0.000 0.000 8.792



No. 4
GGA-PBEsol ZnCd2In, relaxed; formation energy from the elements = 7.56 kJ per mole of atoms; relative energy among the computed polymorphs = 13 meV/atom; size of the total moment = 0.0 μB/cell; total energy = -1.66 eV/atom
1.0
-2.158 2.158 4.348
2.158 -2.158 4.348
2.158 2.158 -4.348
Zn Cd In
1 2 1
Cartesian
0.000 0.000 0.000
2.158 0.000 2.174
0.000 2.158 2.174
0.000 0.000 4.348



No. 5
GGA-PBEsol Zn2CdIn, relaxed; formation energy from the elements = 10.59 kJ per mole of atoms; relative energy among the computed polymorphs = 35 meV/atom; size of the total moment = 0.0 μB/cell; total energy = -1.73 eV/atom
1.0
3.118 -4.111 0.000
3.118 4.111 0.000
0.000 0.000 2.905
Zn Cd In
2 1 1
Cartesian
1.559 2.055 0.000
1.559 -2.055 0.000
0.000 0.000 1.453
3.118 0.000 1.453



No. 6
GGA-PBEsol Zn4CdIn, relaxed; formation energy from the elements = 7.11 kJ per mole of atoms; size of the total moment = 0.0 μB/cell; total energy = -1.68 eV/atom
1.0
0.000 3.711 3.711
3.711 0.000 3.711
3.711 3.711 0.000
Zn Cd In
4 1 1
Cartesian
0.930 0.930 0.930
2.781 2.781 0.930
2.781 0.930 2.781
0.930 2.781 2.781
3.711 3.711 3.711
5.566 5.566 5.566



No. 7
GGA-PBEsol ZnCdIn, relaxed; formation energy from the elements = 4.23 kJ per mole of atoms; size of the total moment = 0.0 μB/cell; total energy = -1.88 eV/atom
1.0
0.000 3.183 3.183
3.183 0.000 3.183
3.183 3.183 0.000
Zn Cd In
1 1 1
Cartesian
0.000 0.000 0.000
4.775 4.775 4.775
1.592 1.592 1.592



No. 8
GGA-PBEsol ZnCdIn, relaxed; formation energy from the elements = 7.77 kJ per mole of atoms; size of the total moment = 0.0 μB/cell; total energy = -1.84 eV/atom
1.0
3.257 0.000 0.000
-1.629 2.821 0.000
0.000 0.000 6.620
Zn Cd In
1 1 1
Cartesian
0.000 0.000 0.000
0.000 1.881 4.579
1.629 0.940 2.144



No. 9
GGA-PBEsol Zn2CdIn, relaxed; formation energy from the elements = 8.10 kJ per mole of atoms; relative energy among the computed polymorphs = 9 meV/atom; size of the total moment = 0.0 μB/cell; total energy = -1.75 eV/atom
1.0
4.396 -1.624 0.000
4.396 1.624 0.000
-1.045 0.000 5.283
Zn Cd In
2 1 1
Cartesian
0.000 0.000 0.000
6.267 0.000 1.031
3.804 0.000 2.303
1.400 0.000 3.888



No. 10
GGA-PBEsol Zr2CdIn, relaxed; formation energy from the elements = -18.33 kJ per mole of atoms; size of the total moment = 0.0 μB/cell; total energy = -5.78 eV/atom
1.0
-2.113 2.113 4.738
2.113 -2.113 4.738
2.113 2.113 -4.738
Zr Cd In
2 1 1
Cartesian
0.000 0.000 0.000
0.000 2.113 2.369
0.000 0.000 4.738
2.113 0.000 2.369



No. 11
GGA-PBEsol Zr2CdIn, relaxed; formation energy from the elements = -20.03 kJ per mole of atoms; size of the total moment = 0.0 μB/cell; total energy = -5.80 eV/atom
1.0
-1.629 2.572 5.065
1.629 -2.572 5.065
1.629 2.572 -5.065
Zr Cd In
2 1 1
Cartesian
0.000 0.000 0.000
0.000 2.572 2.503
1.629 0.000 2.561
0.000 0.000 4.928



No. 12
GGA-PBEsol ZrCd2In, relaxed; formation energy from the elements = -9.74 kJ per mole of atoms; size of the total moment = 0.0 μB/cell; total energy = -3.72 eV/atom
1.0
3.051 0.000 0.000
0.000 4.829 0.000
-0.010 0.000 5.803
Zr Cd In
1 2 1
Cartesian
0.000 0.000 0.000
1.510 2.414 4.433
1.532 2.414 1.369
1.521 0.000 2.901